No. 1
{"formula": "Sr2OsRh", "functional": "PBE", "state": "relaxed", "n_ef_per_ev_fu": 2.1, "polymorph_energy_ev_per_atom": 0.663, "volume_a3_per_atom": 22.84, "dft_energy_ev_per_cell": -18.74, "lattice": [[4.7196, -1.5539, 0.0000], [4.7196, 1.5539, 0.0000], [-0.7995, 0.0000, 6.2282]], "species": ["Sr", "Sr", "Os", "Rh"], "fractional_positions": [[0.2487, 0.2487, 0.2474], [0.7513, 0.7513, 0.7526], [0.0000, 0.0000, 0.5000], [0.5000, 0.5000, 0.0000]]}

=====

No. 2
{"formula": "SrOsRh2", "functional": "PBE", "state": "relaxed", "n_ef_per_ev_fu": 5.5, "polymorph_energy_ev_per_atom": 0.158, "volume_a3_per_atom": 17.82, "dft_energy_ev_per_cell": -25.95, "lattice": [[-1.4260, 2.3890, 5.2307], [1.4260, -2.3890, 5.2307], [1.4260, 2.3890, -5.2307]], "species": ["Sr", "Os", "Rh", "Rh"], "fractional_positions": [[0.0000, 0.0000, 0.0000], [0.2820, 0.7820, 0.5000], [0.4919, 0.4919, 0.0000], [0.7243, 0.2243, 0.5000]]}

=====

No. 3
{"formula": "SrOs2Rh", "functional": "PBE", "state": "relaxed", "n_ef_per_ev_fu": 5.5, "polymorph_energy_ev_per_atom": 0.491, "volume_a3_per_atom": 17.43, "dft_energy_ev_per_cell": -27.83, "lattice": [[-2.1934, 2.1934, 3.6226], [2.1934, -2.1934, 3.6226], [2.1934, 2.1934, -3.6226]], "species": ["Sr", "Os", "Os", "Rh"], "fractional_positions": [[0.0000, 0.0000, 0.0000], [0.2500, 0.7500, 0.5000], [0.5000, 0.5000, 0.0000], [0.7500, 0.2500, 0.5000]]}

=====

No. 4
{"formula": "SrOs2Rh", "functional": "PBE", "state": "relaxed", "n_ef_per_ev_fu": 4.1, "polymorph_energy_ev_per_atom": 0.305, "volume_a3_per_atom": 18.24, "dft_energy_ev_per_cell": -28.57, "lattice": [[-1.4325, 2.5158, 5.0624], [1.4325, -2.5158, 5.0624], [1.4325, 2.5158, -5.0624]], "species": ["Sr", "Os", "Os", "Rh"], "fractional_positions": [[0.0000, 0.0000, 0.0000], [0.2885, 0.7885, 0.5000], [0.4967, 0.4967, 0.0000], [0.7202, 0.2202, 0.5000]]}

=====

No. 5
{"formula": "SrOsRh2", "functional": "PBE", "state": "relaxed", "n_ef_per_ev_fu": 3.3, "polymorph_energy_ev_per_atom": 0.000, "volume_a3_per_atom": 17.76, "dft_energy_ev_per_cell": -26.58, "lattice": [[2.9489, 0.0000, 0.0000], [0.0000, 2.9489, 0.0000], [0.0000, 0.0000, 8.1690]], "species": ["Sr", "Os", "Rh", "Rh"], "fractional_positions": [[0.0000, 0.0000, 0.0000], [0.0000, 0.0000, 0.5000], [0.5000, 0.5000, 0.2967], [0.5000, 0.5000, 0.7033]]}

=====

No. 6
{"formula": "SrOsRh2", "functional": "PBE", "state": "relaxed", "n_ef_per_ev_fu": 6.3, "polymorph_energy_ev_per_atom": 0.124, "volume_a3_per_atom": 18.70, "dft_energy_ev_per_cell": -26.08, "lattice": [[2.8076, 0.0000, 0.0000], [0.0000, 3.9688, 0.0000], [0.0000, 0.0000, 6.7141]], "species": ["Sr", "Os", "Rh", "Rh"], "fractional_positions": [[0.0000, 0.0000, 0.0000], [0.5000, 0.5000, 0.3365], [0.0000, 0.0000, 0.4856], [0.5000, 0.5000, 0.7101]]}

=====

No. 7
{"formula": "SrOsRh2", "functional": "PBE", "state": "relaxed", "n_ef_per_ev_fu": 5.2, "polymorph_energy_ev_per_atom": 0.100, "volume_a3_per_atom": 18.29, "dft_energy_ev_per_cell": -26.18, "lattice": [[2.8588, 0.0000, 0.0000], [0.0000, 4.4147, 0.0000], [-1.4216, 0.0000, 5.7954]], "species": ["Sr", "Os", "Rh", "Rh"], "fractional_positions": [[0.0000, 0.0000, 0.0000], [0.6868, 0.5000, 0.3718], [0.2481, 0.0000, 0.4944], [0.3769, 0.5000, 0.7531]]}

=====

No. 8
{"formula": "Sr2Os2Rh", "functional": "PBE", "state": "relaxed", "n_ef_per_ev_fu": 4.4, "polymorph_energy_ev_per_atom": 0.000, "volume_a3_per_atom": 22.60, "dft_energy_ev_per_cell": -62.57, "lattice": [[6.7089, 0.0000, 0.0000], [0.0000, 6.7089, 0.0000], [0.0000, 0.0000, 5.0212]], "species": ["Sr", "Sr", "Sr", "Sr", "Os", "Os", "Os", "Os", "Rh", "Rh"], "fractional_positions": [[0.1816, 0.3184, 0.0000], [0.3184, 0.8184, 0.0000], [0.6816, 0.1816, 0.0000], [0.8184, 0.6816, 0.0000], [0.1221, 0.6221, 0.5000], [0.3779, 0.1221, 0.5000], [0.6221, 0.8779, 0.5000], [0.8779, 0.3779, 0.5000], [0.0000, 0.0000, 0.5000], [0.5000, 0.5000, 0.5000]]}

=====

No. 9
{"formula": "SrOsRh3", "functional": "PBE", "state": "relaxed", "n_ef_per_ev_fu": 10.7, "polymorph_energy_ev_per_atom": 1.985, "volume_a3_per_atom": 22.19, "dft_energy_ev_per_cell": -22.43, "lattice": [[4.8049, 0.0000, 0.0000], [0.0000, 4.8049, 0.0000], [0.0000, 0.0000, 4.8049]], "species": ["Sr", "Os", "Rh", "Rh", "Rh"], "fractional_positions": [[0.0000, 0.0000, 0.0000], [0.5000, 0.5000, 0.5000], [0.0000, 0.0000, 0.5000], [0.0000, 0.5000, 0.0000], [0.5000, 0.0000, 0.0000]]}

=====

No. 10
{"formula": "Sr2OsRh", "functional": "PBE", "state": "relaxed", "n_ef_per_ev_fu": 3.0, "polymorph_energy_ev_per_atom": 0.486, "volume_a3_per_atom": 23.10, "dft_energy_ev_per_cell": -19.45, "lattice": [[3.2677, 0.0000, 0.0000], [0.0000, 3.2677, 0.0000], [0.0000, 0.0000, 8.6547]], "species": ["Sr", "Sr", "Os", "Rh"], "fractional_positions": [[0.0000, 0.0000, 0.2388], [0.0000, 0.0000, 0.7612], [0.5000, 0.5000, 0.5000], [0.5000, 0.5000, 0.0000]]}

=====

No. 11
{"formula": "SrOsRh2", "functional": "PBE", "state": "relaxed", "n_ef_per_ev_fu": 3.6, "polymorph_energy_ev_per_atom": 0.354, "volume_a3_per_atom": 18.12, "dft_energy_ev_per_cell": -25.17, "lattice": [[0.0000, 3.3092, 3.3092], [3.3092, 0.0000, 3.3092], [3.3092, 3.3092, 0.0000]], "species": ["Sr", "Os", "Rh", "Rh"], "fractional_positions": [[0.0000, 0.0000, 0.0000], [0.5000, 0.5000, 0.5000], [0.2500, 0.2500, 0.2500], [0.7500, 0.7500, 0.7500]]}

=====

No. 12
{"formula": "Sr2OsRh", "functional": "PBE", "state": "relaxed", "n_ef_per_ev_fu": 4.7, "polymorph_energy_ev_per_atom": 0.244, "volume_a3_per_atom": 27.02, "dft_energy_ev_per_cell": -20.42, "lattice": [[3.1677, 0.0000, 0.0000], [0.0000, 3.8323, 0.0000], [0.0000, 0.0000, 8.9046]], "species": ["Sr", "Sr", "Os", "Rh"], "fractional_positions": [[0.0000, 0.0000, 0.0000], [0.5000, 0.5000, 0.4166], [0.0000, 0.0000, 0.6640], [0.5000, 0.5000, 0.7552]]}